Density functional theory data (PBE) for a geometry-optimized Ti2AlN structure.

Values from the calculation:
Energy relative to the lowest polymorph listed for this composition, eV/f.u.: 0.09
Raw formation energy, eV/atom: -1.15

```
8
Lattice="2.893 -0.001 -0.743 -0.214 5.097 -0.847 0.275 0.313 7.068" Properties=species:S:1:pos:R:3 pbc="T T T"
Ti 0.368 5.126 2.392
Ti 1.415 0.481 0.490
Ti 2.754 3.029 -0.305
Ti 1.922 2.577 2.444
Al 1.069 2.114 5.128
Al 2.409 4.662 4.333
N 0.219 1.527 1.828
N 1.558 4.075 1.033
```

***

Density functional theory data (PBE) for a geometry-optimized TiAlN2 structure.

Values from the calculation:
Raw formation energy, eV/atom: -1.36

```
4
Lattice="2.921 -0.001 0.000 1.460 2.530 0.000 1.456 0.841 4.912" Properties=species:S:1:pos:R:3 pbc="T T T"
N 4.378 2.528 3.772
N 1.459 0.842 1.140
Al 0.000 0.000 0.000
Ti 2.918 1.685 2.456
```

***

Density functional theory data (PBE) for a geometry-optimized Ti3Al3N structure.

Values from the calculation:
Raw formation energy, eV/atom: -0.74

```
28
Lattice="7.128 0.000 4.116 2.376 6.721 4.116 0.000 0.000 8.231" Properties=species:S:1:pos:R:3 pbc="T T T"
Ti 1.516 2.896 2.626
Ti 1.720 1.216 8.231
Ti 7.785 5.505 8.231
Ti 6.268 1.216 10.857
Ti 6.268 1.216 5.605
Ti 3.236 5.505 10.857
Ti 3.236 0.464 2.626
Ti 0.656 0.464 4.116
Ti 4.096 2.896 4.116
Ti 1.516 2.896 5.605
Ti 3.236 5.505 5.605
Ti 3.236 0.464 5.605
Al 7.964 5.631 13.793
Al 3.917 2.770 9.678
Al 4.752 5.132 8.231
Al 6.423 2.770 8.231
Al 7.128 3.268 12.347
Al 5.458 5.631 12.347
Al 7.964 5.631 10.900
Al 3.917 2.770 6.784
Al 5.940 4.200 10.289
Al 5.940 4.200 6.173
Al 4.752 0.840 8.231
Al 2.376 4.200 8.231
N 1.188 0.840 2.058
N 1.188 0.840 6.173
N 2.376 4.200 4.116
N 4.752 0.840 4.116
```

***

Density functional theory data (PBE) for a geometry-optimized TiAl2N structure.

Values from the calculation:
Raw formation energy, eV/atom: -0.21

```
8
Lattice="6.815 0.000 0.000 0.000 6.815 0.000 3.408 3.408 2.274" Properties=species:S:1:pos:R:3 pbc="T T T"
N 3.408 3.408 0.000
N 3.408 6.815 1.137
Al 4.453 1.704 0.569
Al 2.363 5.111 0.569
Al 5.111 5.770 1.706
Al 8.519 7.860 1.706
Ti 0.000 0.000 0.000
Ti 6.815 3.408 1.137
```

***

Density functional theory data (PBE) for a geometry-optimized TiAlVN2 structure.

Values from the calculation:
Raw formation energy, eV/atom: 1.26

```
5
Lattice="-0.617 3.643 -0.130 -1.446 -0.075 4.769 3.484 0.628 1.066" Properties=species:S:1:pos:R:3 pbc="T T T"
N 1.742 0.314 0.533
N -0.309 1.821 -0.065
Ti -0.723 -0.038 2.384
Al 0.000 0.000 0.000
V 0.710 2.098 2.853
```

***

Density functional theory data (PBE) for a geometry-optimized TiAl2WN structure.

Values from the calculation:
Raw formation energy, eV/atom: -0.12

```
5
Lattice="-3.911 1.021 0.410 -1.103 -3.390 -2.085 -0.179 -2.084 3.483" Properties=species:S:1:pos:R:3 pbc="T T T"
N 0.000 0.000 0.000
Al -0.090 -1.042 1.741
Al -1.955 0.511 0.205
W -0.552 -1.695 -1.043
Ti -2.597 -2.226 0.904
```

***

Density functional theory data (PBE) for a geometry-optimized YTiAlN2 structure.

Values from the calculation:
Raw formation energy, eV/atom: 0.84

```
5
Lattice="-0.212 -3.939 -0.655 4.441 -0.455 1.302 -1.167 -0.566 3.782" Properties=species:S:1:pos:R:3 pbc="T T T"
Y 1.531 -2.480 2.215
N -0.584 -0.283 1.891
N -0.106 -1.969 -0.327
Al 0.000 0.000 0.000
Ti 2.220 -0.228 0.651
```

***

Density functional theory data (PBE) for a geometry-optimized YTi2AlN structure.

Values from the calculation:
Raw formation energy, eV/atom: -0.82

```
5
Lattice="-1.442 3.766 -1.167 -3.847 -1.616 -0.463 -0.969 1.021 4.494" Properties=species:S:1:pos:R:3 pbc="T T T"
Y -0.485 0.511 2.247
N 0.000 0.000 0.000
Al -3.129 1.586 1.433
Ti -1.923 -0.808 -0.231
Ti -0.721 1.883 -0.583
```

***

Density functional theory data (PBE) for a geometry-optimized Zr2TiAlN structure.

Values from the calculation:
Raw formation energy, eV/atom: -0.92

```
5
Lattice="4.539 0.000 0.000 0.000 4.539 0.000 0.000 0.000 4.036" Properties=species:S:1:pos:R:3 pbc="T T T"
N 0.000 0.000 0.000
Al 2.269 2.269 2.018
Zr 0.000 2.269 0.000
Zr 2.269 0.000 0.000
Ti 0.000 0.000 2.018
```

***

Density functional theory data (PBE) for a geometry-optimized AlTlN2 structure.

Values from the calculation:
Energy relative to the lowest polymorph listed for this composition, eV/f.u.: 0.00
Raw formation energy, eV/atom: -0.20

```
8
Lattice="-2.986 -1.230 3.636 3.554 -2.627 2.030 1.681 1.830 5.251" Properties=species:S:1:pos:R:3 pbc="T T T"
Tl 0.000 0.000 0.000
Tl -0.511 -0.665 5.860
Al 0.284 -1.929 2.833
Al 2.760 -1.363 5.057
N -0.805 -0.559 3.599
N 2.071 -1.419 3.276
N 1.708 -0.247 6.197
N 1.523 -1.829 8.762
```

***

Density functional theory data (PBE) for a geometry-optimized AlTl2N structure.

Values from the calculation:
Energy relative to the lowest polymorph listed for this composition, eV/f.u.: 0.00
Raw formation energy, eV/atom: 0.79

```
8
Lattice="-4.732 3.924 1.523 0.962 -1.222 6.139 1.286 5.080 4.076" Properties=species:S:1:pos:R:3 pbc="T T T"
Tl -2.202 3.310 2.637
Tl 0.018 1.256 5.147
Tl -0.385 4.742 6.336
Tl -2.397 6.255 9.354
Al 0.000 0.000 0.000
Al -2.665 5.177 4.715
N -1.885 1.351 3.831
N 0.182 2.604 7.023
```

***

Density functional theory data (PBE) for a geometry-optimized AlTlN2 structure.

Values from the calculation:
Energy relative to the lowest polymorph listed for this composition, eV/f.u.: 6.27
Raw formation energy, eV/atom: 1.37

```
4
Lattice="0.000 2.899 2.899 2.899 0.000 2.899 2.899 2.899 0.000" Properties=species:S:1:pos:R:3 pbc="T T T"
Tl 2.899 2.899 2.899
Al 0.000 0.000 0.000
N 1.450 1.450 1.450
N 4.349 4.349 4.349
```

***

Density functional theory data (PBE) for a geometry-optimized AlTl2N structure.

Values from the calculation:
Energy relative to the lowest polymorph listed for this composition, eV/f.u.: 1.32
Raw formation energy, eV/atom: 1.12

```
4
Lattice="0.000 3.470 3.470 3.470 0.000 3.470 3.470 3.470 0.000" Properties=species:S:1:pos:R:3 pbc="T T T"
Tl 1.735 1.735 1.735
Tl 5.205 5.205 5.205
Al 3.470 3.470 3.470
N 0.000 0.000 0.000
```

***

Density functional theory data (PBE) for a geometry-optimized AlTlN2 structure.

Values from the calculation:
Energy relative to the lowest polymorph listed for this composition, eV/f.u.: 3.53
Raw formation energy, eV/atom: 0.68

```
4
Lattice="3.764 4.162 2.649 3.595 1.318 4.883 5.755 1.213 1.979" Properties=species:S:1:pos:R:3 pbc="T T T"
Tl 6.557 3.346 4.756
Al 0.000 0.000 0.000
N 11.803 6.023 8.560
N 1.311 0.669 0.951
```

***

Density functional theory data (PBE) for a geometry-optimized Al2TlN structure.

Values from the calculation:
Energy relative to the lowest polymorph listed for this composition, eV/f.u.: 5.23
Raw formation energy, eV/atom: 1.15

```
4
Lattice="0.000 3.252 3.252 3.252 0.000 3.252 3.252 3.252 0.000" Properties=species:S:1:pos:R:3 pbc="T T T"
Tl 3.252 3.252 3.252
Al 1.626 1.626 1.626
Al 4.879 4.879 4.879
N 0.000 0.000 0.000
```

***

Density functional theory data (PBE) for a geometry-optimized Al2TlN structure.

Values from the calculation:
Energy relative to the lowest polymorph listed for this composition, eV/f.u.: 0.00
Raw formation energy, eV/atom: -0.16

```
8
Lattice="5.613 0.000 0.000 0.000 5.613 0.000 2.806 2.806 4.576" Properties=species:S:1:pos:R:3 pbc="T T T"
Tl 0.000 0.000 0.000
Tl 5.613 2.806 2.288
Al 3.498 1.403 1.144
Al 2.115 4.209 1.144
Al 4.209 4.921 3.432
Al 7.016 6.304 3.432
N 2.806 2.806 0.000
N 2.806 5.613 2.288
```

***

Density functional theory data (PBE) for a geometry-optimized AlTlN2 structure.

Values from the calculation:
Energy relative to the lowest polymorph listed for this composition, eV/f.u.: 1.66
Raw formation energy, eV/atom: 0.21

```
4
Lattice="1.278 3.476 5.134 0.965 0.507 6.236 3.711 1.435 4.923" Properties=species:S:1:pos:R:3 pbc="T T T"
Tl 0.000 0.000 0.000
Al 2.977 2.709 8.147
N 5.275 4.799 14.434
N 0.680 0.618 1.860
```

***

Density functional theory data (PBE) for a geometry-optimized AlTlW2N structure.

Values from the calculation:
Raw formation energy, eV/atom: 1.70

```
5
Lattice="-0.280 -4.746 1.361 1.445 0.803 3.097 -4.497 0.807 1.890" Properties=species:S:1:pos:R:3 pbc="T T T"
Tl -1.666 -1.568 3.174
Al 0.000 0.000 0.000
W -2.249 0.404 0.945
W -0.140 -2.373 0.680
N 0.723 0.401 1.548
```

***

Density functional theory data (PBE) for a geometry-optimized Y12Al4TlN3 structure.

Values from the calculation:
Raw formation energy, eV/atom: -0.53

```
20
Lattice="8.656 0.000 0.000 -2.885 8.161 0.000 -2.885 -4.081 7.068" Properties=species:S:1:pos:R:3 pbc="T T T"
Y -1.443 1.020 5.301
Y 4.184 -2.959 5.125
Y 1.587 -1.122 1.943
Y 4.328 3.060 1.767
Y 4.184 5.918 0.000
Y 1.587 2.244 0.000
Y 4.328 0.000 3.534
Y -1.443 4.081 3.534
Y 1.443 -1.020 5.301
Y -4.184 2.959 5.125
Y 1.443 5.101 1.767
Y -1.587 1.122 1.943
Al 1.443 2.040 3.534
Al -1.443 -2.040 3.534
Al 4.328 0.000 0.000
Al -1.443 4.081 0.000
Tl 0.000 0.000 0.000
N 2.885 -2.040 3.534
N 2.885 4.081 0.000
N -2.885 2.040 3.534
```

***

Density functional theory data (PBE) for a geometry-optimized Tm2AlN structure.

Values from the calculation:
Raw formation energy, eV/atom: -0.99

```
4
Lattice="3.432 0.000 0.000 1.716 2.972 0.000 1.716 0.991 7.510" Properties=species:S:1:pos:R:3 pbc="T T T"
Tm 5.148 2.972 5.090
Tm 1.716 0.991 2.420
Al 0.000 0.000 0.000
N 3.432 1.981 3.755
```

***

Density functional theory data (PBE) for a geometry-optimized TmAlN2 structure.

Values from the calculation:
Raw formation energy, eV/atom: -0.94

```
4
Lattice="3.574 0.000 0.000 1.787 3.095 0.000 1.787 1.032 5.765" Properties=species:S:1:pos:R:3 pbc="T T T"
Tm 3.574 2.064 2.882
Al 0.000 0.000 0.000
N 1.787 1.032 4.029
N 5.361 3.095 1.735
```

***

Density functional theory data (PBE) for a geometry-optimized Y2TmAlN structure.

Values from the calculation:
Raw formation energy, eV/atom: -0.94

```
5
Lattice="-3.950 1.503 2.038 -1.738 -4.457 -0.081 1.910 -0.823 4.309" Properties=species:S:1:pos:R:3 pbc="T T T"
Y 0.955 -0.412 2.155
Y -0.869 -2.229 -0.041
Tm -1.975 0.752 1.019
Al -1.889 -1.889 3.133
N 0.000 0.000 0.000
```

***

Density functional theory data (PBE) for a geometry-optimized YTm2AlN structure.

Values from the calculation:
Raw formation energy, eV/atom: -0.95

```
5
Lattice="-1.413 -4.316 -1.490 4.468 -1.190 -0.790 0.342 -1.627 4.387" Properties=species:S:1:pos:R:3 pbc="T T T"
Y -0.706 -2.158 -0.745
Tm 0.171 -0.813 2.193
Tm 2.234 -0.595 -0.395
Al 1.699 -3.566 1.053
N 0.000 0.000 0.000
```

***

Density functional theory data (PBE) for a geometry-optimized UAlN2 structure.

Values from the calculation:
Raw formation energy, eV/atom: -0.88

```
4
Lattice="3.576 0.000 0.000 1.788 3.097 0.000 1.788 1.032 5.649" Properties=species:S:1:pos:R:3 pbc="T T T"
U 3.576 2.064 2.824
Al 0.000 0.000 0.000
N 1.788 1.032 3.765
N 5.363 3.097 1.884
```